P2WSe | the Alexandria database | PBE-GGA | optimized geometry; ΔE_f (raw) = 0.443 eV per atom
1.0
3.922 0.000 0.000
0.000 3.250 0.000
-0.057 0.000 5.154
P W Se
2 1 1
direct
0.000 0.000 0.000
0.500 0.500 0.500
0.000 0.000 0.500
0.500 0.500 0.000

***

Pm2Sm2YTm | the Alexandria database | PBE-GGA | optimized geometry; energy relative to the elements = 0.06 eV/atom
1.0
7.076 0.000 0.000
0.000 5.678 0.000
0.000 0.000 9.843
Pm Sm Y Tm
4 4 2 2
direct
0.250 0.000 0.160
0.250 0.500 0.672
0.750 0.000 0.840
0.750 0.500 0.328
0.000 0.500 0.000
0.250 0.000 0.824
0.500 0.500 0.000
0.750 0.000 0.176
0.000 0.000 0.500
0.500 0.000 0.500
0.250 0.500 0.340
0.750 0.500 0.660

***

PtRh2Cl | the Alexandria database | PBE-GGA | optimized geometry; ΔE_f (raw) = 0.333 eV per atom; E above lowest polymorph = 48 kJ/mol of formula units
1.0
1.389 -2.501 0.000
1.389 2.501 0.000
0.000 0.000 8.826
Pt Rh Cl
1 2 1
direct
0.000 0.000 0.000
0.500 0.500 0.262
0.500 0.500 0.738
0.000 0.000 0.500

***

K2NaAgTe2 | the Alexandria database | PBE-GGA | optimized geometry; ΔE_f (raw) = -0.812 eV per atom
1.0
-3.506 8.092 3.503
3.506 -8.092 3.503
3.506 8.092 -3.503
K Na Ag Te
4 2 2 4
direct
0.169 0.244 0.413
0.331 0.744 0.075
0.669 0.256 0.925
0.831 0.756 0.587
0.250 0.750 0.500
0.750 0.250 0.500
0.250 0.250 0.000
0.750 0.750 0.000
0.109 0.764 0.873
0.391 0.264 0.655
0.609 0.736 0.345
0.891 0.236 0.127

***

Tl2CoHg | the Alexandria database | PBE-GGA | optimized geometry; E above lowest polymorph = 30 kJ/mol of formula units; energy relative to the elements = 0.39 eV/atom
1.0
2.566 -6.289 0.000
2.566 6.289 0.000
0.000 0.000 3.211
Tl Co Hg
2 1 1
direct
0.167 0.833 0.000
0.833 0.167 0.000
0.000 0.000 0.500
0.500 0.500 0.500

***

Pm2Nd2Tl | the Alexandria database | PBE-GGA | optimized geometry; E above lowest polymorph = 0 kJ/mol of formula units; energy relative to the elements = -0.08 eV/atom
1.0
4.372 -4.788 0.000
4.372 4.788 0.000
-3.778 0.000 7.839
Pm Nd Tl
4 4 2
direct
0.109 0.738 0.786
0.262 0.891 0.214
0.738 0.109 0.786
0.891 0.262 0.214
0.220 0.220 0.612
0.344 0.344 0.075
0.656 0.656 0.925
0.780 0.780 0.388
0.331 0.669 0.500
0.669 0.331 0.500

***

ZrTiPt6 | the Alexandria database | PBE-GGA | optimized geometry; energy relative to the elements = -0.94 eV/atom
1.0
4.005 0.000 0.000
0.000 4.005 0.000
0.000 0.000 7.994
Zr Ti Pt
1 1 6
direct
0.000 0.000 0.000
0.000 0.000 0.500
0.000 0.500 0.258
0.000 0.500 0.742
0.500 0.000 0.258
0.500 0.000 0.742
0.500 0.500 0.000
0.500 0.500 0.500

***

LaRe2W | the Alexandria database | PBE-GGA | optimized geometry; E above lowest polymorph = 144 kJ/mol of formula units; energy relative to the elements = 0.71 eV/atom
1.0
-1.553 2.575 4.726
1.553 -2.575 4.726
1.553 2.575 -4.726
La Re W
1 2 1
direct
0.000 0.000 0.000
0.276 0.776 0.500
0.724 0.224 0.500
0.500 0.500 0.000